TlCuI2O PBE optimized geometry; calculated total energy = -3.1193 eV/atom; calculated volume = 28.23 Å³ per atom; ΔE_f (raw) = -215 meV per atom; offset from the most stable computed form = 0.000 eV/atom; DOS(E_F) = 4.76 states/eV per cell
1.0
-6.295 0.001 -0.444
-0.402 -2.707 5.686
-0.106 3.202 1.517
I Tl O Cu
2 1 1 1
direct
0.000 0.500 0.000 I
0.500 0.000 0.000 I
0.500 0.500 0.500 Tl
0.000 0.000 0.500 O
0.000 0.000 0.000 Cu